VASP calculation (PBE) on NaAgH3 after structural relaxation.

abc: 3.887 3.887 3.887
angles: 90.00 90.00 90.00
Space group Pm-3m (No. 221)
One atom of each set of equivalent atoms:
Na: 0.000 0.000 0.000 (multiplicity 1)
Ag: 0.500 0.500 0.500 (multiplicity 1)
H: 0.000 0.000 0.500 (multiplicity 3)

Results
- Energy relative to the lowest polymorph listed for this composition: 76.3 kJ per mole of atoms
- Calculated total energy: -2.013 eV per atom